No. 1
Here is an optimized crystal structure of BaCdPt2 from Alexandria via LeMat-Bulk. Energies are from PBE.

a = 8.1978 Å, b = 5.3154 Å, c = 3.2377 Å
α = 90.09°, β = 66.61°, γ = 130.56°
Closest atoms and distances in Å follow each position.
Fractional coordinates of all 4 atoms:
Ba 0.0000 0.5000 0.5000  8 Pt 3.11, 2 Ba 3.24
Pt 0.0000 0.0000 0.0000  4 Cd 3.11, 4 Ba 3.11, 2 Pt 3.24
Pt 0.5000 0.0000 0.5000  4 Ba 3.11, 4 Cd 3.11, 2 Pt 3.24
Cd 0.5000 0.5000 0.0000  8 Pt 3.11, 2 Cd 3.24

Results
Formation energy from the elements = -212 meV/atom
Fermi-level density of states = 1.10 states/eV per cell
Crystal system = monoclinic

***

No. 2
Here is an optimized crystal structure of Pr2GeHRh6 from Alexandria via LeMat-Bulk. Energies are from PBE.

a = 6.1809 Å, b = 6.1807 Å, c = 6.1796 Å
α = 59.89°, β = 59.89°, γ = 89.96°
Closest atoms and distances in Å follow each position.
Fractional coordinates of all 10 atoms:
Pr 0.7492 0.2508 0.5000  12 Rh 3.09-3.10
Pr 0.2508 0.7492 0.5000  12 Rh 3.09-3.10
Ge 0.0000 0.0000 0.0000  6 Rh 2.38-2.39
H 0.5000 0.5000 0.0000  6 Rh 1.97-1.98
Rh 0.2730 0.2730 0.4526  1 H 1.97
Rh 0.7276 0.7277 0.9985  1 H 1.98
Rh 0.2732 0.7268 0.0000  1 H 1.98
Rh 0.7268 0.2732 0.0000  1 H 1.98
Rh 0.2724 0.2723 0.0015  1 H 1.98
Rh 0.7270 0.7270 0.5474  1 H 1.97

Results
Fermi-level density of states = 9.49 states/eV per cell
Crystal system = monoclinic

***

No. 3
Here is an optimized crystal structure of BCl from Alexandria via LeMat-Bulk. Energies are from PBE.

a = 3.0347 Å, b = 5.9170 Å, c = 15.7490 Å
α = 90.00°, β = 90.00°, γ = 90.00°
Closest atoms and distances in Å follow each position.
Fractional coordinates of all 12 atoms:
B 0.0000 0.7954 0.5600  1 Cl 1.75, 3 B 1.79-1.89
B 0.5000 0.2046 0.9400  1 Cl 1.75, 3 B 1.79-1.89
B 0.5000 0.2046 0.0600  1 Cl 1.75, 3 B 1.79-1.89
B 0.0000 0.7954 0.4400  1 Cl 1.75, 3 B 1.79-1.89
B 0.0000 0.2064 0.0000  4 B 1.79
B 0.5000 0.7936 0.5000  4 B 1.79
Cl 0.0000 0.7398 0.6690  1 B 1.75
Cl 0.5000 0.2602 0.8310  1 B 1.75
Cl 0.5000 0.2602 0.1690  1 B 1.75
Cl 0.0000 0.7398 0.3310  1 B 1.75
Cl 0.0000 0.1288 0.5000  2 B 2.19
Cl 0.5000 0.8712 0.0000  2 B 2.19

Results
E above lowest polymorph = 605 meV/atom
Formation energy (no corrections) = -0.03 eV per atom
Crystal system = orthorhombic

***

No. 4
Here is an optimized crystal structure of Ca2NbHgF from Alexandria via LeMat-Bulk. Energies are from PBE.

a = 5.8104 Å, b = 5.1538 Å, c = 5.8104 Å
α = 90.00°, β = 90.00°, γ = 90.00°
Closest atoms and distances in Å follow each position.
Fractional coordinates of all 5 atoms:
Nb 0.0000 0.0000 0.0000  2 Hg 2.58
Ca 0.0000 0.0000 0.5000  2 Nb 2.91
Ca 0.5000 0.0000 0.0000  2 Nb 2.91
Hg 0.0000 0.5000 0.0000  2 Nb 2.58
F 0.5000 0.5000 0.5000  8 Ca 3.88, 4 Hg 4.11

Results
Formation energy (no corrections) = 0.31 eV per atom
Fermi-level density of states = 5.32 states/eV per cell
Crystal system = tetragonal

***

No. 5
Here is an optimized crystal structure of CdRuW from Alexandria via LeMat-Bulk. Energies are from PBE.

a = 2.8535 Å, b = 2.8535 Å, c = 7.1158 Å
α = 90.00°, β = 90.00°, γ = 120.00°
Closest atoms and distances in Å follow each position.
Fractional coordinates of all 3 atoms:
Cd 0.0000 0.0000 0.0062  6 Cd 2.85, 3 Ru 2.97, 3 W 3.08
Ru 0.6667 0.3333 0.3533  3 W 2.63, 6 Ru 2.85
W 0.3333 0.6667 0.6405  3 Ru 2.63, 6 W 2.85

Results
E above lowest polymorph = 0 meV/atom
Formation energy from the elements = 252 meV/atom
Fermi-level density of states = 2.16 states/eV per cell
Crystal system = trigonal

***

No. 6
Here is an optimized crystal structure of PmSmGe4 from Alexandria via LeMat-Bulk. Energies are from PBE.

a = 5.6981 Å, b = 5.6981 Å, c = 5.6981 Å
α = 60.00°, β = 60.00°, γ = 60.00°
Closest atoms and distances in Å follow each position.
Fractional coordinates of all 6 atoms:
Ge 0.6248 0.6248 0.1256  6 Ge 2.84-2.85
Ge 0.6248 0.1256 0.6248  6 Ge 2.84-2.85
Ge 0.6248 0.6248 0.6248  6 Ge 2.84-2.85
Ge 0.1256 0.6248 0.6248  6 Ge 2.84-2.85
Sm 0.2500 0.2500 0.2500  12 Ge 3.34, 4 Pm 3.49
Pm 0.0000 0.0000 0.0000  12 Ge 3.34, 4 Sm 3.49

Results
Formation energy from the elements = -362 meV/atom
Fermi-level density of states = 7.18 states/eV per cell
Crystal system = cubic

***

Ordered E_tot results: -3.94, -6.68, -4.30, -2.94, -7.46, -5.02; unit eV per atom.
Ordered total magnetic moment results: 0.00, 0.00, 0.00, 0.13, 0.00, 0.00; unit μB per atom.